(1)
Density functional theory data (PBE) for a relaxed BaSb2F2 crystal.

The value obtained for the formation energy without anion corrections is -6.90 eV/f.u. Its offset from the most stable computed form is 0.00 eV/f.u.

The space group is I4/mmm (No. 139) and the conventional cell measures 5.214, 5.214 and 9.608 Å, with angles of 90.00, 90.00 and 90.00 degrees. The asymmetric unit holds Ba at (0.000, 0.000, 0.000), Sb at (0.000, 0.000, 0.367) and F at (0.000, 0.500, 0.250).

***

(2)
Density functional theory data (PBE) for a relaxed Tb5SnSb2 crystal.

The value obtained for the formation energy without anion corrections is -4.64 eV/f.u.

The space group is Fmm2 (No. 42) and the conventional cell measures 9.788, 11.315 and 8.170 Å, with angles of 90.00, 90.00 and 90.00 degrees. The asymmetric unit holds Tb at (0.000, 0.000, 0.000), Tb at (0.000, 0.250, 0.284), Tb at (0.208, 0.000, 0.319), Sn at (0.000, 0.000, 0.616) and Sb at (0.250, 0.250, 0.032).

***

(3)
Density functional theory data (PBE) for a relaxed RbBiPb2S4 crystal.

The value obtained for the formation energy without anion corrections is -4.40 eV/f.u.

The space group is Imma (No. 74) and the conventional cell measures 8.528, 8.662 and 12.021 Å, with angles of 90.00, 90.00 and 90.00 degrees. The asymmetric unit holds Rb at (0.250, 0.250, 0.250), Bi at (0.000, 0.000, 0.000), Pb at (0.000, 0.000, 0.500), Pb at (0.250, 0.250, 0.750), S at (0.000, 0.018, 0.760) and S at (0.238, 0.250, 0.994).